Material: YSb2MoPb
Method: DFT, PBE-GGA
State: optimized geometry

Lattice parameters (Å, degrees): 5.737 5.737 5.685 90.00 90.00 90.00
Space group P4/mmm (No. 123)
Inequivalent atoms, fractional coordinates:
Y 0.000 0.000 0.000 (multiplicity 1)
Sb 0.000 0.500 0.500 (multiplicity 2)
Mo 0.500 0.500 0.000 (multiplicity 1)
Pb 0.000 0.000 0.500 (multiplicity 1)

Computed properties:
The value obtained for the uncorrected formation energy is 1395 meV per atom.


Material: Y2SbMoPb
Method: DFT, PBE-GGA
State: optimized geometry

Lattice parameters (Å, degrees): 5.374 5.374 5.274 90.00 90.00 90.00
Space group P4/mmm (No. 123)
Inequivalent atoms, fractional coordinates:
Y 0.000 0.500 0.000 (multiplicity 2)
Sb 0.000 0.000 0.500 (multiplicity 1)
Mo 0.500 0.500 0.000 (multiplicity 1)
Pb 0.500 0.500 0.500 (multiplicity 1)

Computed properties:
The value obtained for the uncorrected formation energy is 235 meV per atom.


Material: Sc2Mo2Pb
Method: DFT, PBE-GGA
State: optimized geometry

Lattice parameters (Å, degrees): 7.676 7.676 3.544 90.00 90.00 90.00
Space group P4/mbm (No. 127)
Inequivalent atoms, fractional coordinates:
Sc 0.188 0.312 0.000 (multiplicity 4)
Mo 0.103 0.603 0.500 (multiplicity 4)
Pb 0.000 0.000 0.500 (multiplicity 2)

Computed properties:
The calculation puts the energy above the most stable polymorph in this dataset at 0 meV per atom. For the formation energy, the calculation gives 0.130 eV/atom.


Material: ScMoPb2
Method: DFT, PBE-GGA
State: optimized geometry

Lattice parameters (Å, degrees): 4.580 4.580 4.240 90.00 90.00 90.00
Space group P4/mmm (No. 123)
Inequivalent atoms, fractional coordinates:
Sc 0.000 0.000 0.000 (multiplicity 1)
Mo 0.500 0.500 0.000 (multiplicity 1)
Pb 0.000 0.500 0.500 (multiplicity 2)

Computed properties:
The calculation puts the energy above the most stable polymorph in this dataset at 98 meV per atom. For the formation energy, the calculation gives 0.335 eV/atom.


Material: Sc2MoPb2
Method: DFT, PBE-GGA
State: optimized geometry

Lattice parameters (Å, degrees): 7.446 7.446 4.086 90.00 90.00 90.00
Space group P4/mbm (No. 127)
Inequivalent atoms, fractional coordinates:
Sc 0.168 0.332 0.000 (multiplicity 4)
Mo 0.000 0.000 0.500 (multiplicity 2)
Pb 0.143 0.643 0.500 (multiplicity 4)

Computed properties:
For the formation energy, the calculation gives 0.051 eV/atom.


Material: ScMoPb2
Method: DFT, PBE-GGA
State: optimized geometry

Lattice parameters (Å, degrees): 7.234 7.234 7.234 90.00 90.00 90.00
Space group F-43m (No. 216)
Inequivalent atoms, fractional coordinates:
Sc 0.000 0.000 0.000 (multiplicity 4)
Mo 0.250 0.250 0.750 (multiplicity 4)
Pb 0.000 0.000 0.500 (multiplicity 4)
Pb 0.250 0.250 0.250 (multiplicity 4)

Computed properties:
The calculation puts the energy above the most stable polymorph in this dataset at 317 meV per atom. For the formation energy, the calculation gives 0.554 eV/atom.


Material: ScMoPb2
Method: DFT, PBE-GGA
State: optimized geometry

Lattice parameters (Å, degrees): 4.699 4.699 7.896 90.00 90.00 90.00
Space group I4/mmm (No. 139)
Inequivalent atoms, fractional coordinates:
Sc 0.000 0.000 0.000 (multiplicity 2)
Mo 0.000 0.000 0.500 (multiplicity 2)
Pb 0.000 0.500 0.250 (multiplicity 4)

Computed properties:
The calculation puts the energy above the most stable polymorph in this dataset at 30 meV per atom. For the formation energy, the calculation gives 0.267 eV/atom.


Material: ScMoPb2
Method: DFT, PBE-GGA
State: optimized geometry

Lattice parameters (Å, degrees): 3.719 4.590 5.203 90.00 90.00 90.00
Space group Pmmm (No. 47)
Inequivalent atoms, fractional coordinates:
Sc 0.000 0.000 0.000 (multiplicity 1)
Mo 0.500 0.000 0.500 (multiplicity 1)
Pb 0.000 0.500 0.500 (multiplicity 1)
Pb 0.500 0.500 0.000 (multiplicity 1)

Computed properties:
The calculation puts the energy above the most stable polymorph in this dataset at 61 meV per atom. For the formation energy, the calculation gives 0.298 eV/atom.


no.,raw total energy (hartree per atom),spin magnetization (μB/atom)
1,-0.1637,0.919
2,-0.2236,0.000
3,-0.2748,0.000
4,-0.2135,0.390
5,-0.2253,0.000
6,-0.2055,0.544
7,-0.2160,0.216
8,-0.2149,0.000